Li2PmCd (PBE-GGA, relaxed); final energy = -19.823 eV for the cell shown; spin magnetization = 0.0 Bohr magnetons per cell; crystal system = monoclinic; formation energy = -0.10 eV per atom
1.0
5.1690 0.0000 0.0000
0.0000 6.3921 0.0000
-2.5421 0.0000 5.5395
Li Pm Cd
4 2 2
direct
0.1199 0.0486 0.2397
0.1199 0.4514 0.2397
0.8801 0.5486 0.7603
0.8801 0.9514 0.7603
0.4004 0.2500 0.8026
0.5996 0.7500 0.1974
0.3055 0.7500 0.6101
0.6945 0.2500 0.3899